11
Lattice="4.041 0.000 0.000 0.000 6.800 0.378 -2.020 -1.094 13.366" Properties=species:S:1:pos:R:3 comment="Tm5Th2Bi4 (PBE-GGA, optimized geometry)" e_form_ev_per_fu=-1.77 vol_a3_per_cell=369 space_group="No. 12" pbc="T T T"
Tm 0.000 5.137 4.440
Tm 2.020 0.569 9.303
Tm 0.000 0.940 6.408
Tm 2.020 0.000 0.000
Tm 2.020 4.765 7.335
Th 2.020 4.059 11.372
Th 0.000 1.646 2.372
Bi 2.020 2.759 4.775
Bi 0.000 4.766 1.399
Bi 0.000 2.946 8.969
Bi 2.020 0.939 12.344

12
Lattice="-4.882 -2.735 1.069 1.528 -4.316 -4.066 2.018 -1.063 6.498" Properties=species:S:1:pos:R:3 comment="ErAl3CuPd (PBE-GGA, optimized geometry)" e_form_ev_per_fu=-2.49 vol_a3_per_cell=215 space_group="No. 63" pbc="T T T"
Er -2.065 -3.901 3.365
Er 0.728 -4.214 0.135
Al -0.427 -1.602 1.540
Al 0.440 -1.243 -1.171
Al -1.354 -4.441 -2.361
Al -2.001 -2.611 -0.637
Al 1.088 -3.073 -2.895
Al -0.909 -6.512 1.960
Cu 1.923 -5.598 2.054
Cu -3.260 -2.517 1.447
Pd 0.741 -2.955 3.415
Pd -2.078 -5.159 0.085

10
Lattice="-3.703 0.057 3.792 -0.248 -4.824 7.241 4.312 8.204 0.386" Properties=species:S:1:pos:R:3 comment="YHo7Sc2 (PBE-GGA, optimized geometry)" e_form_ev_per_fu=0.44 vol_a3_per_cell=300 space_group="No. 71" pbc="T T T"
Y 0.000 0.000 0.000
Ho 2.364 1.030 5.999
Ho -2.003 2.407 5.418
Ho 0.399 3.330 7.751
Ho -0.038 0.107 3.666
Ho -2.024 -2.264 9.172
Ho 2.386 5.701 2.246
Ho -1.975 -2.383 5.516
Sc -0.309 -0.083 7.109
Sc 0.670 3.520 4.309

Copy entry 3 word for word.
10
Lattice="-3.703 0.057 3.792 -0.248 -4.824 7.241 4.312 8.204 0.386" Properties=species:S:1:pos:R:3 comment="YHo7Sc2 (PBE-GGA, optimized geometry)" e_form_ev_per_fu=0.44 vol_a3_per_cell=300 space_group="No. 71" pbc="T T T"
Y 0.000 0.000 0.000
Ho 2.364 1.030 5.999
Ho -2.003 2.407 5.418
Ho 0.399 3.330 7.751
Ho -0.038 0.107 3.666
Ho -2.024 -2.264 9.172
Ho 2.386 5.701 2.246
Ho -1.975 -2.383 5.516
Sc -0.309 -0.083 7.109
Sc 0.670 3.520 4.309